No. 1
Crystalline La2TiInF at its relaxed geometry, computed with PBE-GGA.

Cell: 6.130 5.145 6.130 Å, 90.00 90.00 90.00°
Atoms (fractional coordinates):
1 Ti 0.000 0.500 0.000
2 La 0.000 0.000 0.500
3 La 0.500 0.000 0.000
4 In 0.000 0.000 0.000
5 F 0.500 0.500 0.500

## Properties
Fermi-level density of states (states/eV/cell): 9.11
Formation energy without anion corrections (eV per atom): 0.19
Space group: P4/mmm (123)

***

No. 2
Crystalline Pu2GeO at its relaxed geometry, computed with PBE-GGA.

Cell: 4.089 4.089 5.422 Å, 67.85 67.85 60.00°
Atoms (fractional coordinates):
1 Pu 0.197 0.197 0.410
2 Pu 0.803 0.803 0.590
3 Ge 0.000 0.000 0.000
4 O 0.500 0.500 0.500

## Properties
Fermi-level density of states (states/eV/cell): 6.24
Formation energy without anion corrections (eV per atom): -0.50
Space group: R-3m (166)

***

No. 3
Crystalline SrPt2Rh2 at its relaxed geometry, computed with PBE-GGA.

Cell: 7.902 7.902 2.855 Å, 90.00 90.00 90.00°
Atoms (fractional coordinates):
1 Rh 0.381 0.881 0.000
2 Rh 0.119 0.381 0.000
3 Rh 0.619 0.119 0.000
4 Rh 0.881 0.619 0.000
5 Sr 0.500 0.500 0.000
6 Sr 0.000 0.000 0.000
7 Pt 0.180 0.680 0.500
8 Pt 0.820 0.320 0.500
9 Pt 0.320 0.180 0.500
10 Pt 0.680 0.820 0.500

## Properties
DFT formation energy (eV/atom): -0.17
Fermi-level density of states (states/eV/cell): 13.75
Space group: P4/mbm (127)